Entry 1:
SrPF: optimized geometry, GGA-PBE.

ΔE_f (raw) ... -2.245 eV/atom

a = 4.315 Å, b = 4.315 Å, c = 8.429 Å
α = 108.11°, β = 108.11°, γ = 56.40°
Atoms (fractional coordinates):
Sr  0.086  0.086  0.285
Sr  0.914  0.914  0.715
P  0.313  0.313  0.040
P  0.687  0.687  0.960
F  0.202  0.202  0.602
F  0.798  0.798  0.398

***

Entry 2:
Tb3Pr6Y2Er: optimized geometry, GGA-PBE.

Formation energy ... 0.9 kJ per mole of atoms

a = 6.320 Å, b = 6.320 Å, c = 11.916 Å
α = 95.06°, β = 95.06°, γ = 120.00°
Atoms (fractional coordinates):
Tb  0.000  0.000  0.000
Tb  0.333  0.667  0.000
Tb  0.667  0.333  0.000
Pr  0.084  0.417  0.250
Pr  0.251  0.251  0.750
Pr  0.417  0.084  0.250
Pr  0.583  0.916  0.750
Pr  0.749  0.749  0.250
Pr  0.916  0.583  0.750
Y  0.167  0.833  0.500
Y  0.833  0.167  0.500
Er  0.500  0.500  0.500

***

Entry 3:
Al5Ga12Si3: optimized geometry, GGA-PBE.

ΔE_f (raw) ... 0.235 eV/atom

a = 13.098 Å, b = 13.098 Å, c = 13.098 Å
α = 109.47°, β = 109.47°, γ = 109.47°
Atoms (fractional coordinates):
Al  0.000  0.000  0.000
Al  0.000  0.000  0.500
Al  0.000  0.500  0.000
Al  0.000  0.500  0.500
Al  0.125  0.750  0.875
Al  0.125  0.875  0.250
Al  0.250  0.125  0.875
Al  0.250  0.625  0.375
Al  0.375  0.250  0.625
Al  0.375  0.625  0.750
Al  0.500  0.000  0.000
Al  0.500  0.000  0.500
Al  0.500  0.500  0.000
Al  0.500  0.500  0.500
Al  0.625  0.375  0.250
Al  0.625  0.750  0.375
Al  0.750  0.375  0.625
Al  0.750  0.875  0.125
Al  0.875  0.125  0.750
Al  0.875  0.250  0.125
Ga  0.065  0.235  0.131
Ga  0.065  0.330  0.934
Ga  0.066  0.631  0.396
Ga  0.066  0.935  0.670
Ga  0.104  0.735  0.670
Ga  0.104  0.869  0.434
Ga  0.131  0.065  0.235
Ga  0.131  0.566  0.896
Ga  0.170  0.235  0.604
Ga  0.170  0.435  0.566
Ga  0.235  0.131  0.065
Ga  0.235  0.604  0.170
Ga  0.265  0.330  0.896
Ga  0.265  0.435  0.369
Ga  0.330  0.896  0.265
Ga  0.330  0.934  0.065
Ga  0.369  0.265  0.435
Ga  0.369  0.604  0.934
Ga  0.396  0.066  0.631
Ga  0.396  0.830  0.765
Ga  0.434  0.104  0.869
Ga  0.434  0.830  0.565
Ga  0.435  0.369  0.265
Ga  0.435  0.566  0.170
Ga  0.565  0.434  0.830
Ga  0.565  0.631  0.735
Ga  0.566  0.170  0.435
Ga  0.566  0.896  0.131
Ga  0.604  0.170  0.235
Ga  0.604  0.934  0.369
Ga  0.631  0.396  0.066
Ga  0.631  0.735  0.565
Ga  0.670  0.066  0.935
Ga  0.670  0.104  0.735
Ga  0.735  0.565  0.631
Ga  0.735  0.670  0.104
Ga  0.765  0.396  0.830
Ga  0.765  0.869  0.935
Ga  0.830  0.565  0.434
Ga  0.830  0.765  0.396
Ga  0.869  0.434  0.104
Ga  0.869  0.935  0.765
Ga  0.896  0.131  0.566
Ga  0.896  0.265  0.330
Ga  0.934  0.065  0.330
Ga  0.934  0.369  0.604
Ga  0.935  0.670  0.066
Ga  0.935  0.765  0.869
Si  0.125  0.250  0.375
Si  0.125  0.375  0.750
Si  0.250  0.375  0.125
Si  0.250  0.875  0.625
Si  0.375  0.125  0.250
Si  0.375  0.750  0.125
Si  0.625  0.250  0.875
Si  0.625  0.875  0.750
Si  0.750  0.125  0.375
Si  0.750  0.625  0.875
Si  0.875  0.625  0.250
Si  0.875  0.750  0.625

***

Entry 4:
V3NiRu: optimized geometry, GGA-PBE.

Formation energy ... 93.8 kJ per mole of atoms

a = 4.268 Å, b = 4.268 Å, c = 4.268 Å
α = 90.00°, β = 90.00°, γ = 90.00°
Atoms (fractional coordinates):
V  0.000  0.000  0.500
V  0.000  0.500  0.000
V  0.500  0.000  0.000
Ni  0.000  0.000  0.000
Ru  0.500  0.500  0.500